A relaxed Li3V3B2O10 crystal. Source: the Alexandria database, functional GGA+U.

Energy above the most stable polymorph in this dataset (meV/atom): 0
Total energy (eV/cell): -260.4

a b c (Å): 9.4214 3.0100 11.9942
angles (deg): 89.62 90.00 90.00
Site moments in Bohr magnetons follow the coordinates.
Element x y z (fractional)
Li 0.0000 0.0000 0.0000  0.00
Li 0.0096 0.0070 0.2778  0.00
Li 0.4904 0.0070 0.7778  0.00
Li 0.5000 0.0000 0.5000  0.00
Li 0.5096 0.9930 0.2222  0.00
Li 0.9904 0.9930 0.7222  0.00
V 0.0000 0.5000 0.5000  1.83
V 0.7678 0.4633 0.1148  1.05
V 0.7322 0.4633 0.6148  1.05
V 0.5000 0.5000 0.0000  1.83
V 0.2678 0.5367 0.3852  1.05
V 0.2322 0.5367 0.8852  1.05
B 0.7628 0.5047 0.8617  0.01
B 0.7372 0.5047 0.3617  0.01
B 0.2628 0.4953 0.6383  0.01
B 0.2372 0.4953 0.1383  0.01
O 0.8805 0.0008 0.1456  -0.05
O 0.8782 0.9904 0.5700  0.00
O 0.8840 0.5087 0.3626  -0.01
O 0.8338 0.4881 0.7600  -0.01
O 0.8427 0.5168 0.9593  0.00
O 0.6573 0.5168 0.4593  0.00
O 0.6662 0.4881 0.2600  -0.01
O 0.6160 0.5087 0.8626  -0.01
O 0.6218 0.9904 0.0700  0.00
O 0.6195 0.0008 0.6456  -0.05
O 0.3805 0.9992 0.3544  -0.05
O 0.3782 0.0096 0.9300  0.00
O 0.3840 0.4913 0.1374  -0.01
O 0.3338 0.5119 0.7400  -0.01
O 0.3427 0.4832 0.5407  0.00
O 0.1573 0.4832 0.0407  0.00
O 0.1662 0.5119 0.2400  -0.01
O 0.1160 0.4913 0.6374  -0.01
O 0.1218 0.0096 0.4300  0.00
O 0.1195 0.9992 0.8544  -0.05